1.
Mg2MnGaRh GGA-PBEsol relaxed; symmetry = P4/mmm (123); E_form = 3.36 eV per formula unit; spin magnetization = 0.8801 μB/atom
1.0
4.779 0.000 0.000
0.000 4.779 0.000
0.000 0.000 4.547
Mg Mn Ga Rh
2 1 1 1
Cartesian
0.000 2.389 0.000
2.389 0.000 0.000
0.000 0.000 2.274
2.389 2.389 0.000
2.389 2.389 2.274



2.
MgMnGa2Rh GGA-PBEsol relaxed; symmetry = P4/mmm (123); E_form = 1.50 eV per formula unit; spin magnetization = 0.8994 μB/atom
1.0
4.671 0.000 0.000
0.000 4.671 0.000
0.000 0.000 4.817
Mg Mn Ga Rh
1 1 2 1
Cartesian
0.000 0.000 0.000
2.335 2.335 0.000
0.000 2.335 2.408
2.335 0.000 2.408
0.000 0.000 2.408



3.
MgGa3N GGA-PBEsol relaxed; formation energy from raw total energies = 0.32 eV per atom; symmetry = Pm-3m (221); spin magnetization = 0.0000 μB/atom
1.0
4.345 0.000 0.000
0.000 4.345 0.000
0.000 0.000 4.345
Mg Ga N
1 3 1
Cartesian
0.000 0.000 0.000
0.000 2.173 2.173
2.173 0.000 2.173
2.173 2.173 0.000
2.173 2.173 2.173



> Among the records above, which one has the highest spin magnetization?

MgMnGa2Rh



> The highest spin magnetization belongs to which entry?

MgMnGa2Rh